Entry from Alexandria: crystalline SrY2Cl at its relaxed geometry (PBE).

Structure (POSCAR):
```
SrY2Cl
1.0
-2.2289 2.2289 7.3626
2.2289 -2.2289 7.3626
2.2289 2.2289 -7.3626
Sr Y Cl
1 2 1
direct
0.0000 0.0000 0.0000 Sr
0.2500 0.7500 0.5000 Y
0.7500 0.2500 0.5000 Y
0.5000 0.5000 0.0000 Cl
```

Values from the calculation:
SG: I4/mmm, No. 139
Energy relative to the lowest polymorph listed for this composition (meV/atom): 404.2
DFT total energy (eV per atom): -4.36
Crystal system: tetragonal
Total magnetic moment (μB/cell): 0.00
Energy relative to the elements, uncorrected (kJ/mol of formula units): -97
Density of states at the Fermi level (states/eV per cell): 4.6